The following is a PBEsol calculation of an optimized crystal structure of ZrGa2, from Alexandria.

The energy of formation is -0.6300 eV/atom.

It has space group Cmmm (No. 65), with a = 3.957 Å, b = 12.791 Å, c = 4.087 Å, α = 90.00°, β = 90.00° and γ = 90.00°. The asymmetric unit holds Zr at (0.000, 0.150, 0.000), Ga at (0.000, 0.000, 0.500), Ga at (0.000, 0.322, 0.500) and Ga at (0.000, 0.500, 0.000).


The following is a PBEsol calculation of an optimized crystal structure of Zr3Ga2, from Alexandria.

The energy of formation is -0.5873 eV/atom.

It has space group P4/mbm (No. 127), with a = 7.260 Å, b = 7.260 Å, c = 3.656 Å, α = 90.00°, β = 90.00° and γ = 90.00°. The asymmetric unit holds Zr at (0.000, 0.000, 0.000), Zr at (0.177, 0.323, 0.500) and Ga at (0.123, 0.623, 0.000).


The following is a PBEsol calculation of an optimized crystal structure of GdGe, from Alexandria.

The energy of formation is -0.9200 eV/atom.

It has space group Cmcm (No. 63), with a = 4.283 Å, b = 10.707 Å, c = 3.939 Å, α = 90.00°, β = 90.00° and γ = 90.00°. The asymmetric unit holds Gd at (0.000, 0.139, 0.250) and Ge at (0.000, 0.417, 0.250).


The following is a PBEsol calculation of an optimized crystal structure of NaGdGeO4, from Alexandria.

As for the raw formation energy: -2.454 eV per atom.

It has space group Pnma (No. 62), with a = 11.525 Å, b = 6.504 Å, c = 5.296 Å, α = 90.00°, β = 90.00° and γ = 90.00°. The asymmetric unit holds Na at (0.000, 0.000, 0.000), Gd at (0.222, 0.250, 0.496), Ge at (0.096, 0.750, 0.555), O at (0.045, 0.250, 0.322), O at (0.109, 0.750, 0.229) and O at (0.172, 0.543, 0.708).


The following is a PBEsol calculation of an optimized crystal structure of NaGd3GeS7, from Alexandria.

As for the raw formation energy: -1.577 eV per atom.

It has space group P6_3 (No. 173), with a = 9.9172 Å, b = 9.9172 Å, c = 5.7240 Å, α = 90.00°, β = 90.00° and γ = 120.00°. The asymmetric unit holds Na at (0.0000, 0.0000, 0.0000), Gd at (0.1308, 0.7694, 0.2258), Ge at (0.3333, 0.6667, 0.6439), S at (0.0977, 0.8336, 0.7523), S at (0.0995, 0.5170, 0.4822) and S at (0.3333, 0.6667, 0.0262).


The following is a PBEsol calculation of an optimized crystal structure of Gd3Ge13Os4, from Alexandria.

The energy of formation is -0.3958 eV/atom.

It has space group Pm-3n (No. 223), with a = 8.985 Å, b = 8.985 Å, c = 8.985 Å, α = 90.00°, β = 90.00° and γ = 90.00°. The asymmetric unit holds Gd at (0.000, 0.250, 0.500), Ge at (0.000, 0.000, 0.000), Ge at (0.000, 0.298, 0.145) and Os at (0.250, 0.250, 0.250).


The following is a PBEsol calculation of an optimized crystal structure of GdGe2Pd2, from Alexandria.

The energy of formation is -0.8523 eV/atom.

It has space group I4/mmm (No. 139), with a = 4.216 Å, b = 4.216 Å, c = 10.097 Å, α = 90.00°, β = 90.00° and γ = 90.00°. The asymmetric unit holds Gd at (0.000, 0.000, 0.000), Ge at (0.000, 0.000, 0.380) and Pd at (0.000, 0.500, 0.250).


The following is a PBEsol calculation of an optimized crystal structure of GdGe2Rh2, from Alexandria.

The energy of formation is -0.9259 eV/atom.

It has space group I4/mmm (No. 139), with a = 4.084 Å, b = 4.084 Å, c = 10.289 Å, α = 90.00°, β = 90.00° and γ = 90.00°. The asymmetric unit holds Gd at (0.000, 0.000, 0.000), Ge at (0.000, 0.000, 0.378) and Rh at (0.000, 0.500, 0.250).